# Li3RhF6

An optimized crystal structure of Li3RhF6 (PBE, Alexandria).

abc: 5.324 5.530 5.599
angles: 117.21 102.23 93.36
Fractional coordinates of all 10 atoms:
Li (0.000, 0.000, 0.000)
Li (0.000, 0.500, 0.000)
Li (0.500, 0.000, 0.500)
Rh (0.500, 0.500, 0.000)
F (0.255, 0.335, 0.138)
F (0.257, 0.242, 0.625)
F (0.278, 0.799, 0.099)
F (0.722, 0.201, 0.901)
F (0.743, 0.758, 0.375)
F (0.745, 0.665, 0.862)

Values from the calculation:
DFT total energy, Ry per atom: -0.34717
Formation energy without anion corrections, eV/f.u.: -22.914
Energy relative to the lowest polymorph listed for this composition, eV per atom: 0.1082

***

# Li4Rh2F9

An optimized crystal structure of Li4Rh2F9 (PBE, Alexandria).

abc: 5.109 5.127 14.630
angles: 91.44 91.55 118.49
Fractional coordinates of all 30 atoms:
Li (0.142, 0.313, 0.337)
Li (0.142, 0.325, 0.828)
Li (0.163, 0.345, 0.518)
Li (0.166, 0.331, 0.020)
Li (0.834, 0.669, 0.980)
Li (0.837, 0.655, 0.482)
Li (0.858, 0.675, 0.172)
Li (0.858, 0.687, 0.663)
Rh (0.480, 0.985, 0.849)
Rh (0.500, 0.005, 0.652)
Rh (0.500, 0.995, 0.348)
Rh (0.520, 0.015, 0.151)
F (0.135, 0.608, 0.414)
F (0.145, 0.664, 0.770)
F (0.151, 0.993, 0.580)
F (0.165, 0.688, 0.079)
F (0.168, 0.021, 0.921)
F (0.213, 0.021, 0.242)
F (0.465, 0.282, 0.760)
F (0.468, 0.319, 0.420)
F (0.469, 0.648, 0.920)
F (0.531, 0.352, 0.080)
F (0.532, 0.681, 0.580)
F (0.535, 0.718, 0.240)
F (0.787, 0.979, 0.758)
F (0.832, 0.979, 0.079)
F (0.835, 0.312, 0.921)
F (0.849, 0.007, 0.420)
F (0.855, 0.336, 0.230)
F (0.865, 0.392, 0.586)

Values from the calculation:
DFT total energy, Ry per atom: -0.34956
Formation energy without anion corrections, eV/f.u.: -32.140

***

# LiRhF2

An optimized crystal structure of LiRhF2 (PBE, Alexandria).

abc: 7.383 7.383 7.383
angles: 22.39 22.39 22.39
Fractional coordinates of all 4 atoms:
Li (0.000, 0.000, 0.000)
Rh (0.500, 0.500, 0.500)
F (0.078, 0.078, 0.078)
F (0.922, 0.922, 0.922)

Values from the calculation:
DFT total energy, Ry per atom: -0.32480
Formation energy without anion corrections, eV/f.u.: -4.669
Energy relative to the lowest polymorph listed for this composition, eV per atom: 0.6980

***

# Li2RhF8

An optimized crystal structure of Li2RhF8 (PBE, Alexandria).

abc: 6.238 6.238 4.953
angles: 105.14 105.14 92.86
Fractional coordinates of all 11 atoms:
Li (0.202, 0.202, 0.191)
Li (0.798, 0.798, 0.809)
Rh (0.500, 0.500, 0.000)
F (0.021, 0.021, 0.816)
F (0.233, 0.518, 0.120)
F (0.329, 0.329, 0.620)
F (0.482, 0.767, 0.880)
F (0.518, 0.233, 0.120)
F (0.671, 0.671, 0.380)
F (0.767, 0.482, 0.880)
F (0.979, 0.979, 0.184)

Values from the calculation:
DFT total energy, Ry per atom: -0.30538
Formation energy without anion corrections, eV/f.u.: -19.554